{
  "formula": "CoGeNO",
  "functional": "PBE with a Hubbard U",
  "state": "relaxed",
  "rho_g_cm3": 5.803,
  "sg": "Pmc2_1",
  "relative_energy_ev_per_atom": 0.1413,
  "dft_energy_ev_per_atom": -6.10,
  "lattice": [[-1.553, -2.689, 0.000], [0.000, 0.000, 5.056], [-5.101, 2.945, 0.000]],
  "species": ["N", "O", "Co", "N", "O", "Ge", "Co", "Ge"],
  "frac_coords": [[0.000, 0.880, 0.284], [0.500, 0.370, 0.136], [0.000, 0.499, 0.403], [0.000, 0.380, 0.716], [0.500, 0.870, 0.864], [0.500, 0.505, 0.839], [0.000, 0.999, 0.597], [0.500, 0.005, 0.161]]
}